Computed, not measured: a geometry-optimized Sr2ZrAu structure at the PBE-GGA level of DFT.

Values from the calculation:
Energy of formation, eV/atom: -0.1101
Distance to the lowest polymorph of the same formula, eV per atom: 0.000
Volume, Å³ per atom: 33.2
Calculated total energy, eV per atom: -3.907

abc: 3.6929 3.6929 9.7386
angles: 90.00 90.00 90.00
Last column: nearest neighbours and their distance in Å.
Space group P4mm (No. 99)
One atom of each set of equivalent atoms:
Sr: 0.0000 0.0000 0.0000 x1  4 Au 3.47, 1 Zr 3.51, 4 Sr 3.69
Sr: 0.5000 0.5000 0.3703 x1  4 Sr 3.69, 4 Zr 3.70, 1 Au 3.84
Zr: 0.0000 0.0000 0.6398 x1  4 Au 2.88
Au: 0.5000 0.5000 0.7649 x1  4 Zr 2.88